1.
# RbGaFe2I

A relaxed RbGaFe2I crystal (PBE, the Alexandria database).

Results
Total energy in eV per atom: -2.752
E_form (uncorrected) in eV/atom: 1.742
Density of states at the Fermi level in states/eV/cell: 3.903

Geometry as CIF:
```
data_RbGaFe2I
_space_group_name_H-M_alt 'P 4/m m m'
_space_group_IT_number 123
_space_group_name_Hall '-P 4 2'
_cell_length_a 5.4651
_cell_length_b 5.4651
_cell_length_c 6.5675
_cell_angle_alpha 90.00
_cell_angle_beta 90.00
_cell_angle_gamma 90.00
loop_
_atom_site_label
_atom_site_fract_x
_atom_site_fract_y
_atom_site_fract_z
Rb1 0.0000 0.0000 0.0000
Ga1 0.5000 0.5000 0.5000
Fe1 0.0000 0.5000 0.0000
I1 0.0000 0.0000 0.5000
```

***

2.
# Ga2FeRhI

A relaxed Ga2FeRhI crystal (PBE, the Alexandria database).

Results
Total energy in eV per atom: -3.266
E_form (uncorrected) in eV/atom: 1.418
Density of states at the Fermi level in states/eV/cell: 8.097

Geometry as CIF:
```
data_Ga2FeRhI
_space_group_name_H-M_alt 'P 4/m m m'
_space_group_IT_number 123
_space_group_name_Hall '-P 4 2'
_cell_length_a 5.6867
_cell_length_b 5.6867
_cell_length_c 4.8566
_cell_angle_alpha 90.00
_cell_angle_beta 90.00
_cell_angle_gamma 90.00
loop_
_atom_site_label
_atom_site_fract_x
_atom_site_fract_y
_atom_site_fract_z
Ga1 0.0000 0.5000 0.0000
Fe1 0.0000 0.0000 0.5000
Rh1 0.5000 0.5000 0.5000
I1 0.5000 0.5000 0.0000
```

***

3.
# GaFeSb2I

A relaxed GaFeSb2I crystal (PBE, the Alexandria database).

Results
Total energy in eV per atom: -3.897
E_form (uncorrected) in eV/atom: 0.360
Relative energy among the computed polymorphs in meV per atom: 0
Density of states at the Fermi level in states/eV/cell: 3.428

Geometry as CIF:
```
data_GaFeSb2I
_space_group_name_H-M_alt 'P 4/m m m'
_space_group_IT_number 123
_space_group_name_Hall '-P 4 2'
_cell_length_a 4.8865
_cell_length_b 4.8865
_cell_length_c 6.3395
_cell_angle_alpha 90.00
_cell_angle_beta 90.00
_cell_angle_gamma 90.00
loop_
_atom_site_label
_atom_site_fract_x
_atom_site_fract_y
_atom_site_fract_z
Ga1 0.0000 0.0000 0.0000
Fe1 0.5000 0.5000 0.5000
Sb1 0.0000 0.5000 0.5000
I1 0.5000 0.5000 0.0000
```

***

4.
# GaFeSeI2

A relaxed GaFeSeI2 crystal (PBE, the Alexandria database).

Results
Total energy in eV per atom: -2.970
E_form (uncorrected) in eV/atom: 0.645
Density of states at the Fermi level in states/eV/cell: 9.645

Geometry as CIF:
```
data_GaFeSeI2
_space_group_name_H-M_alt 'P 4/m m m'
_space_group_IT_number 123
_space_group_name_Hall '-P 4 2'
_cell_length_a 5.8488
_cell_length_b 5.8488
_cell_length_c 5.0756
_cell_angle_alpha 90.00
_cell_angle_beta 90.00
_cell_angle_gamma 90.00
loop_
_atom_site_label
_atom_site_fract_x
_atom_site_fract_y
_atom_site_fract_z
Ga1 0.0000 0.0000 0.0000
Fe1 0.5000 0.5000 0.5000
Se1 0.0000 0.0000 0.5000
I1 0.0000 0.5000 0.0000
```

***

5.
# SrGaFe2I

A relaxed SrGaFe2I crystal (PBE, the Alexandria database).

Results
Total energy in eV per atom: -4.112
E_form (uncorrected) in eV/atom: 0.525
Density of states at the Fermi level in states/eV/cell: 6.748

Geometry as CIF:
```
data_SrGaFe2I
_space_group_name_H-M_alt 'P 4/m m m'
_space_group_IT_number 123
_space_group_name_Hall '-P 4 2'
_cell_length_a 4.6127
_cell_length_b 4.6127
_cell_length_c 5.5690
_cell_angle_alpha 90.00
_cell_angle_beta 90.00
_cell_angle_gamma 90.00
loop_
_atom_site_label
_atom_site_fract_x
_atom_site_fract_y
_atom_site_fract_z
Sr1 0.0000 0.0000 0.0000
Ga1 0.5000 0.5000 0.5000
Fe1 0.0000 0.5000 0.5000
I1 0.5000 0.5000 0.0000
```

***

6.
# Ga2FeWI

A relaxed Ga2FeWI crystal (PBE, the Alexandria database).

Results
Total energy in eV per atom: -4.462
E_form (uncorrected) in eV/atom: 1.342
Density of states at the Fermi level in states/eV/cell: 4.496

Geometry as CIF:
```
data_Ga2FeWI
_space_group_name_H-M_alt 'P 4/m m m'
_space_group_IT_number 123
_space_group_name_Hall '-P 4 2'
_cell_length_a 4.4106
_cell_length_b 4.4106
_cell_length_c 5.0497
_cell_angle_alpha 90.00
_cell_angle_beta 90.00
_cell_angle_gamma 90.00
loop_
_atom_site_label
_atom_site_fract_x
_atom_site_fract_y
_atom_site_fract_z
Ga1 0.0000 0.5000 0.0000
Fe1 0.0000 0.0000 0.0000
W1 0.5000 0.5000 0.5000
I1 0.0000 0.0000 0.5000
```

***

Q: Which of these has the highest density of states at the Fermi level?
A: GaFeSeI2

***

Q: Which value of density of states at the Fermi level does entry 6 give?
A: 4.496 states/eV/cell

***

What did the first record say?
# RbGaFe2I

A relaxed RbGaFe2I crystal (PBE, the Alexandria database).

Results
Total energy in eV per atom: -2.752
E_form (uncorrected) in eV/atom: 1.742
Density of states at the Fermi level in states/eV/cell: 3.903

Geometry as CIF:
```
data_RbGaFe2I
_space_group_name_H-M_alt 'P 4/m m m'
_space_group_IT_number 123
_space_group_name_Hall '-P 4 2'
_cell_length_a 5.4651
_cell_length_b 5.4651
_cell_length_c 6.5675
_cell_angle_alpha 90.00
_cell_angle_beta 90.00
_cell_angle_gamma 90.00
loop_
_atom_site_label
_atom_site_fract_x
_atom_site_fract_y
_atom_site_fract_z
Rb1 0.0000 0.0000 0.0000
Ga1 0.5000 0.5000 0.5000
Fe1 0.0000 0.5000 0.0000
I1 0.0000 0.0000 0.5000
```

***

Q: Look up the total energy of the sixth one.
A: -4.462 eV per atom